# PBE AcPr2Cu3, optimized geometry
# Mass density = 7.77 Mg/m³
# D(E_F) = 4.6 states/eV per cell
# E_tot = -4.431 eV per atom
data_AcPr2Cu3
_cell_length_a 3.678
_cell_length_b 3.678
_cell_length_c 11.049
_cell_angle_alpha 90.00
_cell_angle_beta 90.00
_cell_angle_gamma 90.00
_space_group_name_H-M_alt 'P 1'
_space_group_IT_number 1
_space_group_name_Hall 'P 1'
loop_
_atom_site_label
_atom_site_type_symbol
_atom_site_fract_x
_atom_site_fract_y
_atom_site_fract_z
_atom_site_occupancy
Ac1 Ac 0.000 0.000 0.000 1
Pr1 Pr 0.000 0.000 0.337 1
Pr2 Pr 0.000 0.000 0.663 1
Cu1 Cu 0.500 0.500 0.183 1
Cu2 Cu 0.500 0.500 0.500 1
Cu3 Cu 0.500 0.500 0.817 1